No. 1
A plane-wave DFT calculation with PBE-GGA was carried out for a relaxed B3C crystal.

Structure (POSCAR):
```
B3C
1.0
2.404 0.000 0.000
0.000 2.362 0.000
0.000 0.000 14.528
C B
3 9
Cartesian
0.000 1.181 1.088
0.000 1.181 5.954
0.000 0.000 0.239
0.000 1.181 11.008
0.000 0.000 9.667
1.202 1.181 2.211
0.000 0.000 4.859
1.202 1.181 12.320
1.202 0.000 13.654
1.202 0.000 3.531
1.202 1.181 7.011
1.202 0.000 8.363
```

Final energy = -82.83 eV/cell
Total magnetization = 0.00 μB/f.u.
DFT formation energy = 412 meV per atom
Volume = 82 Å³ per cell

***

No. 2
A plane-wave DFT calculation with PBE-GGA was carried out for a relaxed BC crystal.

Structure (POSCAR):
```
BC
1.0
2.481 0.000 0.000
0.000 2.435 0.000
0.000 0.000 13.200
B C
6 6
Cartesian
0.000 1.217 10.021
0.000 0.000 8.680
1.241 1.217 11.310
1.241 0.000 12.654
1.241 0.000 7.390
1.241 1.217 6.047
0.000 1.217 4.999
0.000 0.000 0.501
0.000 1.217 1.374
1.241 1.217 2.307
0.000 0.000 4.126
1.241 0.000 3.193
```

Final energy = -91.26 eV/cell
Total magnetization = 0.00 μB/f.u.
DFT formation energy = 346 meV per atom
Volume = 80 Å³ per cell

***

No. 3
A plane-wave DFT calculation with PBE-GGA was carried out for a relaxed BC crystal.

Structure (POSCAR):
```
BC
1.0
4.787 -0.242 0.000
-1.823 4.432 0.000
0.000 0.000 2.643
B C
4 4
Cartesian
2.813 4.190 0.000
1.432 2.238 0.000
1.738 0.343 0.000
-0.890 2.201 1.322
3.899 0.366 1.322
0.613 2.730 1.322
3.049 2.559 0.000
0.681 4.233 1.322
```

Final energy = -60.20 eV/cell
Total magnetization = 0.00 μB/f.u.
DFT formation energy = 426 meV per atom
Volume = 55 Å³ per cell

***

No. 4
A plane-wave DFT calculation with PBE-GGA was carried out for a relaxed BC crystal.

Structure (POSCAR):
```
BC
1.0
-2.493 0.518 0.251
-1.081 -4.553 -1.338
0.558 -0.410 6.399
C B
6 6
Cartesian
-0.862 -0.710 5.956
-0.512 -4.918 5.074
-1.859 -3.844 2.517
0.129 -0.148 1.587
-1.018 -0.703 4.394
-2.015 -3.837 0.955
-0.215 -3.336 4.760
-0.387 -3.269 2.910
-0.169 -1.730 1.901
0.004 -1.796 3.751
-1.671 -2.310 1.220
-1.206 -2.237 5.691
```

Final energy = -90.75 eV/cell
Total magnetization = 0.00 μB/f.u.
DFT formation energy = 389 meV per atom
Volume = 78 Å³ per cell

***

No. 5
A plane-wave DFT calculation with PBE-GGA was carried out for a relaxed B11C crystal.

Structure (POSCAR):
```
B11C
1.0
1.427 7.142 0.006
-1.427 7.142 0.006
0.000 1.584 5.217
B C
11 1
Cartesian
0.000 4.142 4.561
0.000 9.214 3.120
0.000 13.928 4.608
0.000 2.502 4.322
0.000 13.972 0.387
0.000 12.253 4.270
0.000 5.761 5.055
0.000 7.780 2.446
0.000 15.309 3.482
0.000 10.747 3.613
0.000 5.446 0.782
0.000 6.845 1.256
```

Final energy = -78.51 eV/cell
Total magnetization = 0.00 μB/f.u.
DFT formation energy = 347 meV per atom
Volume = 106 Å³ per cell

***

No. 6
A plane-wave DFT calculation with PBE-GGA was carried out for a relaxed BC crystal.

Structure (POSCAR):
```
BC
1.0
2.618 0.000 0.000
0.000 4.243 -0.008
0.000 -0.024 7.402
B C
6 6
Cartesian
0.000 1.201 1.313
0.000 1.221 3.486
1.309 1.785 5.904
0.000 4.062 2.671
1.309 3.498 0.254
0.000 4.082 4.845
0.000 0.927 6.150
1.309 3.014 4.930
1.309 2.269 1.227
1.309 2.176 3.682
1.309 3.107 2.475
0.000 0.114 0.016
```

Final energy = -91.27 eV/cell
Total magnetization = 0.00 μB/f.u.
DFT formation energy = 344 meV per atom
Volume = 82 Å³ per cell

***

No. 7
A plane-wave DFT calculation with PBE-GGA was carried out for a relaxed BC crystal.

Structure (POSCAR):
```
BC
1.0
-1.539 0.482 1.461
-1.878 -1.124 -1.608
0.638 -3.843 1.940
C B
2 2
Cartesian
-1.246 -3.107 1.334
0.144 -0.865 0.437
-0.435 -1.776 1.749
-0.923 -0.657 -0.756
```

Final energy = -30.21 eV/cell
Total magnetization = 0.00 μB/f.u.
DFT formation energy = 399 meV per atom
Volume = 26 Å³ per cell

***

No. 8
A plane-wave DFT calculation with PBE-GGA was carried out for a relaxed BC crystal.

Structure (POSCAR):
```
BC
1.0
-3.568 4.865 1.912
-5.127 2.904 2.308
2.857 -1.410 4.275
C B
6 6
Cartesian
-0.971 1.623 4.213
-5.836 6.017 6.806
-4.868 4.731 4.252
-3.384 4.009 6.524
-5.080 4.589 2.719
-1.057 1.376 2.648
0.290 0.694 4.582
-2.258 2.240 2.200
-7.098 6.954 6.480
-7.488 6.884 4.595
-3.640 3.877 4.864
2.730 -1.310 4.267
```

Final energy = -90.16 eV/cell
Total magnetization = 0.00 μB/f.u.
DFT formation energy = 437 meV per atom
Volume = 81 Å³ per cell

***

No. 9
A plane-wave DFT calculation with PBE-GGA was carried out for a relaxed BC crystal.

Structure (POSCAR):
```
BC
1.0
-1.893 3.260 2.335
-2.686 1.106 3.351
3.612 0.183 3.209
C B
4 4
Cartesian
-0.333 3.679 7.543
-0.973 4.453 8.687
1.562 1.270 3.913
2.201 0.495 2.770
-2.425 3.219 4.934
-0.669 2.488 4.755
-1.714 2.277 3.493
0.041 1.547 3.313
```

Final energy = -61.25 eV/cell
Total magnetization = 0.00 μB/f.u.
DFT formation energy = 294 meV per atom
Volume = 52 Å³ per cell

***

No. 10
A plane-wave DFT calculation with PBE-GGA was carried out for a relaxed B3C crystal.

Structure (POSCAR):
```
B3C
1.0
3.032 -1.831 -2.772
4.371 -0.239 -1.033
3.163 -6.047 3.099
B C
9 3
Cartesian
8.058 -5.920 -0.786
1.749 -0.663 -0.740
8.654 -4.955 -2.128
7.438 -3.271 -2.734
5.850 -2.686 -2.046
5.324 -5.608 1.033
4.548 -3.020 -0.738
2.992 -2.516 -0.001
6.810 -6.587 0.786
0.335 -0.159 -0.113
6.637 -5.254 -0.301
2.626 -3.524 1.203
```

Final energy = -82.09 eV/cell
Total magnetization = 0.00 μB/f.u.
DFT formation energy = 474 meV per atom
Volume = 81 Å³ per cell

***

No. 11
A plane-wave DFT calculation with PBE-GGA was carried out for a relaxed B3C crystal.

Structure (POSCAR):
```
B3C
1.0
-0.903 -1.004 -2.292
-1.715 -1.526 1.344
-8.769 9.306 -0.623
B C
9 3
Cartesian
-1.199 1.273 -0.085
-2.971 1.480 0.522
-1.309 -1.265 -0.474
-7.107 6.561 -1.619
-5.796 4.478 0.321
-7.176 4.961 -0.891
-4.282 3.563 -1.418
-7.569 8.033 -0.538
-4.211 1.815 -0.680
-1.131 0.219 -1.195
-4.384 4.653 -0.312
-8.947 7.822 0.097
```

Final energy = -81.26 eV/cell
Total magnetization = 0.00 μB/f.u.
DFT formation energy = 543 meV per atom
Volume = 91 Å³ per cell

***

No. 12
A plane-wave DFT calculation with PBE-GGA was carried out for a relaxed B3C2 crystal.

Structure (POSCAR):
```
B3C2
1.0
10.964 -1.361 -0.012
10.964 1.361 -0.012
10.798 0.000 2.339
C B
4 6
Cartesian
0.723 0.000 0.051
18.783 0.000 1.328
13.944 0.000 0.986
32.004 0.000 2.263
7.673 0.000 0.543
5.816 0.000 0.411
12.232 0.000 0.865
20.495 0.000 1.449
26.911 0.000 1.903
25.054 0.000 1.772
```

Final energy = -71.99 eV/cell
Total magnetization = 0.00 μB/f.u.
DFT formation energy = 497 meV per atom
Volume = 70 Å³ per cell

***

No. 13
A plane-wave DFT calculation with PBE-GGA was carried out for a relaxed BC crystal.

Structure (POSCAR):
```
BC
1.0
-5.016 -1.712 -5.023
-1.624 -4.974 -5.093
1.634 2.719 6.577
B C
5 5
Cartesian
-2.269 -4.125 -3.797
-4.309 -2.840 -4.286
0.434 1.344 4.495
-3.254 -2.548 -1.394
-2.245 -1.532 0.143
-1.448 -0.394 -0.589
-2.726 -2.630 -3.978
-5.425 -4.449 -6.724
-0.107 0.008 0.013
-2.838 -1.794 -2.707
```

Final energy = -77.13 eV/cell
Total magnetization = 0.00 μB/f.u.
DFT formation energy = 238 meV per atom
Volume = 72 Å³ per cell

***

No. 14
A plane-wave DFT calculation with PBE-GGA was carried out for a relaxed BC crystal.

Structure (POSCAR):
```
BC
1.0
2.619 0.000 0.000
0.000 3.766 0.000
0.000 0.000 8.254
B C
6 6
Cartesian
0.000 3.644 7.982
1.310 1.981 6.771
1.310 1.981 4.235
0.000 3.644 3.024
0.000 0.635 1.376
1.310 1.953 1.376
1.310 2.869 2.643
0.000 0.101 5.503
0.000 0.928 6.811
1.310 2.869 0.109
0.000 0.928 4.194
1.310 2.948 5.503
```

Final energy = -89.87 eV/cell
Total magnetization = 0.00 μB/f.u.
DFT formation energy = 462 meV per atom
Volume = 81 Å³ per cell

***

No. 15
A plane-wave DFT calculation with PBE-GGA was carried out for a relaxed B3C2 crystal.

Structure (POSCAR):
```
B3C2
1.0
1.307 4.357 -0.324
-1.307 4.357 -0.324
0.000 2.736 5.717
C B
4 6
Cartesian
0.000 5.942 0.731
0.000 7.818 5.248
0.000 5.508 4.338
0.000 3.632 -0.179
0.000 1.369 1.999
0.000 10.082 3.071
0.000 3.939 4.602
0.000 7.511 0.467
0.000 2.994 2.965
0.000 8.457 2.104
```

Final energy = -73.22 eV/cell
Total magnetization = 0.00 μB/f.u.
DFT formation energy = 374 meV per atom
Volume = 67 Å³ per cell

***

No. 16
A plane-wave DFT calculation with PBE-GGA was carried out for a relaxed BC crystal.

Structure (POSCAR):
```
BC
1.0
5.994 0.203 0.000
-4.677 3.509 0.000
0.000 0.000 3.710
C B
6 6
Cartesian
2.997 0.101 0.922
0.000 0.000 3.633
1.131 0.614 2.781
0.186 3.098 2.781
1.941 2.599 0.814
-0.624 1.112 0.814
0.658 1.856 1.769
-0.859 2.514 0.097
2.175 1.198 0.097
-2.965 3.083 1.746
4.281 0.628 1.746
-2.338 1.755 3.202
```

Final energy = -90.56 eV/cell
Total magnetization = 0.00 μB/f.u.
DFT formation energy = 404 meV per atom
Volume = 82 Å³ per cell

***

No. 17
A plane-wave DFT calculation with PBE-GGA was carried out for a relaxed BC crystal.

Structure (POSCAR):
```
BC
1.0
2.602 0.000 0.000
-1.301 2.254 0.000
0.000 0.000 13.884
C B
6 6
Cartesian
1.301 0.751 2.812
1.301 0.751 11.650
0.000 1.502 0.503
1.301 0.751 4.233
0.000 0.000 0.076
1.301 0.751 10.229
0.000 0.000 6.668
0.000 1.502 2.177
0.000 1.502 7.794
0.000 1.502 9.492
0.000 0.000 4.970
0.000 0.000 12.286
```

Final energy = -89.96 eV/cell
Total magnetization = 0.00 μB/f.u.
DFT formation energy = 454 meV per atom
Volume = 81 Å³ per cell

***

No. 18
A plane-wave DFT calculation with PBE-GGA was carried out for a relaxed B7C5 crystal.

Structure (POSCAR):
```
B7C5
1.0
4.117 -0.047 -1.826
3.265 2.508 -1.826
0.366 0.122 8.139
B C
7 5
Cartesian
3.670 1.223 1.377
5.172 1.724 0.445
6.741 2.247 -2.163
2.694 0.898 4.173
1.175 0.392 1.096
0.428 0.143 7.820
4.828 1.609 3.985
3.975 1.325 5.252
0.221 0.074 4.098
2.523 0.841 0.228
1.395 0.465 5.007
6.373 2.124 1.290
```

Final energy = -88.07 eV/cell
Total magnetization = 0.00 μB/f.u.
DFT formation energy = 399 meV per atom
Volume = 87 Å³ per cell

***

No. 19
A plane-wave DFT calculation with PBE-GGA was carried out for a relaxed B7C5 crystal.

Structure (POSCAR):
```
B7C5
1.0
4.531 0.087 -0.563
-2.429 3.714 -0.818
0.200 0.067 4.581
C B
5 7
Cartesian
2.013 3.392 1.624
2.087 0.773 2.427
3.447 0.685 1.800
2.253 3.633 3.122
-1.190 3.209 1.470
0.541 2.575 3.541
0.384 1.402 0.322
-0.369 1.996 2.073
3.256 0.555 0.216
-1.292 2.653 -0.011
2.089 1.350 3.896
1.273 1.986 1.803
```

Final energy = -88.26 eV/cell
Total magnetization = 0.00 μB/f.u.
DFT formation energy = 383 meV per atom
Volume = 79 Å³ per cell

***

No. 20
A plane-wave DFT calculation with PBE-GGA was carried out for a relaxed B11C crystal.

Structure (POSCAR):
```
B11C
1.0
0.236 -4.687 -3.502
1.563 -5.511 -1.216
-4.582 -3.236 1.494
B C
11 1
Cartesian
-2.062 -10.584 -2.617
-0.727 -1.826 -0.236
-0.344 -11.680 -4.009
-0.928 -9.288 -2.808
1.164 -6.808 -3.129
-2.056 -3.137 0.063
-3.616 -6.254 -0.154
-1.990 -5.845 -0.951
1.096 -10.276 -4.338
-1.021 -4.264 -0.944
-2.190 -8.889 -1.931
0.311 -4.417 -1.772
```

Final energy = -78.12 eV/cell
Total magnetization = 0.00 μB/f.u.
DFT formation energy = 380 meV per atom
Volume = 88 Å³ per cell

***

No. 21
A plane-wave DFT calculation with PBE-GGA was carried out for a relaxed BC crystal.

Structure (POSCAR):
```
BC
1.0
2.812 0.097 12.029
1.470 2.399 12.029
0.167 0.097 12.352
B C
5 5
Cartesian
0.570 0.333 4.668
2.688 1.567 22.002
1.758 1.025 14.386
4.441 2.590 36.354
0.982 0.572 8.035
4.252 2.479 34.805
3.511 2.047 28.739
1.568 0.915 12.838
2.483 1.448 20.320
3.324 1.938 27.210
```

Final energy = -76.07 eV/cell
Total magnetization = 0.00 μB/f.u.
DFT formation energy = 344 meV per atom
Volume = 75 Å³ per cell